Computed, not measured: a relaxed KSr2Cr crystal at the GGA-PBEsol level of DFT.

Values from the calculation:
- Magnetization: 4.92 μB/cell
- Formation enthalpy at 0 K: 534 meV/atom
- Energy above the lowest structure with this stoichiometry: 0.0 kJ/mol of atoms
- Total energy: -0.1187 Ha/atom
- Space-group type: P4/mmm (123)

a b c (Å): 4.026 4.026 10.842
angles (deg): 90.00 90.00 90.00
Each line ends with the local moment (μB).
Element x y z (fractional)
Cr1 0.500 0.500 0.500  3.99
Sr1 0.000 0.000 0.678  0.04
Sr2 0.000 0.000 0.322  0.04
K1 0.500 0.500 0.000  -0.01